## SiSe3N (PBE)

Data for a relaxed SiSe3N crystal.

Cell lengths 4.860, 4.860, 4.860 Å; angles 90.00, 90.00, 90.00 degrees
Last column: magnetic moment on the atom in μB.
Positions (direct):
1 Si 0.000 0.000 0.000  0.01
2 Se 0.000 0.500 0.000  -0.07
3 Se 0.000 0.000 0.500  -0.05
4 Se 0.500 0.000 0.000  -0.04
5 N 0.500 0.500 0.500  1.80

VASP energy (eV per atom): -3.475
Symmetry: Pm-3m, No. 221
Total moment (μB/cell): 2.45
Relative energy among the computed polymorphs (eV/atom): 0.384

## In3ReBr (PBE)

Data for a relaxed In3ReBr crystal.

Cell lengths 5.730, 5.730, 5.730 Å; angles 90.00, 90.00, 90.00 degrees
Last column: magnetic moment on the atom in μB.
Positions (direct):
1 Re 0.500 0.500 0.500  3.60
2 Br 0.000 0.000 0.000  0.01
3 In 0.000 0.500 0.000  -0.05
4 In 0.000 0.000 0.500  -0.03
5 In 0.500 0.000 0.000  -0.04

VASP energy (eV per atom): -2.995
Symmetry: Pm-3m, No. 221
Total moment (μB/cell): 3.84
Relative energy among the computed polymorphs (eV/atom): 1.128

## PrCo4Si4 (PBE)

Data for a relaxed PrCo4Si4 crystal.

Cell lengths 4.138, 7.882, 7.882 Å; angles 90.00, 90.00, 90.00 degrees
Positions (direct):
1 Pr 0.000 0.000 0.000
2 Pr 0.500 0.500 0.500
3 Co 0.500 0.380 0.894
4 Co 0.000 0.606 0.880
5 Co 0.500 0.620 0.106
6 Co 0.000 0.120 0.606
7 Co 0.500 0.894 0.620
8 Co 0.000 0.880 0.394
9 Co 0.000 0.394 0.120
10 Co 0.500 0.106 0.380
11 Si 0.500 0.839 0.288
12 Si 0.500 0.161 0.712
13 Si 0.000 0.788 0.661
14 Si 0.000 0.339 0.788
15 Si 0.000 0.661 0.212
16 Si 0.500 0.288 0.161
17 Si 0.500 0.712 0.839
18 Si 0.000 0.212 0.339

VASP energy (eV per atom): -6.677
Symmetry: I4/m, No. 87
Total moment (μB/cell): 0.00

## RbTePPd2 (PBE)

Data for a relaxed RbTePPd2 crystal.

Cell lengths 5.048, 7.023, 5.048 Å; angles 90.00, 90.00, 90.00 degrees
Last column: magnetic moment on the atom in μB.
Positions (direct):
1 P 0.500 0.500 0.500  0.97
2 Te 0.000 0.000 0.000  0.07
3 Rb 0.000 0.500 0.000  0.02
4 Pd 0.000 0.000 0.500  0.04
5 Pd 0.500 0.000 0.000  0.09

VASP energy (eV per atom): -3.404
Symmetry: P4/mmm, No. 123
Total moment (μB/cell): 2.62

## BaY3Mn (PBE)

Data for a relaxed BaY3Mn crystal.

Cell lengths 5.507, 5.507, 5.507 Å; angles 90.00, 90.00, 90.00 degrees
Last column: magnetic moment on the atom in μB.
Positions (direct):
1 Y 0.000 0.500 0.000  -0.12
2 Y 0.000 0.000 0.500  -0.19
3 Y 0.500 0.000 0.000  -0.08
4 Mn 0.000 0.000 0.000  1.77
5 Ba 0.500 0.500 0.500  -0.04

VASP energy (eV per atom): -5.874
Symmetry: Pm-3m, No. 221
Total moment (μB/cell): 0.96
Relative energy among the computed polymorphs (eV/atom): 0.000
Energy relative to the elements (eV per atom): 0.223

## TbNdZnHg (PBE)

Data for a relaxed TbNdZnHg crystal.

Cell lengths 5.265, 5.265, 5.265 Å; angles 60.00, 60.00, 60.00 degrees
Last column: magnetic moment on the atom in μB.
Positions (direct):
1 Nd 0.000 0.000 0.000  0.19
2 Zn 0.750 0.750 0.750  0.02
3 Tb 0.500 0.500 0.500  0.25
4 Hg 0.250 0.250 0.250  0.03

VASP energy (eV per atom): -3.119
Symmetry: F-43m, No. 216
Total moment (μB/cell): 0.81
Relative energy among the computed polymorphs (eV/atom): 0.028
Energy relative to the elements (eV per atom): -0.375

## Ac2BeSi4Pd3 (PBE)

Data for a relaxed Ac2BeSi4Pd3 crystal.

Cell lengths 4.325, 4.325, 10.189 Å; angles 90.00, 90.00, 90.00 degrees
Positions (direct):
1 Ac 0.500 0.000 0.252
2 Ac 0.000 0.500 0.748
3 Be 0.500 0.500 0.500
4 Si 0.500 0.500 0.000
5 Si 0.000 0.000 0.000
6 Si 0.500 0.000 0.623
7 Si 0.000 0.500 0.377
8 Pd 0.000 0.000 0.500
9 Pd 0.500 0.000 0.878
10 Pd 0.000 0.500 0.122

VASP energy (eV per atom): -5.634
Symmetry: P-4m2, No. 115
Total moment (μB/cell): 0.00

## LaBC (PBE)

Data for a relaxed LaBC crystal.

Cell lengths 4.520, 3.050, 3.050 Å; angles 120.00, 90.00, 90.00 degrees
Positions (direct):
1 La 0.000 0.547 0.094
2 B 0.500 0.214 0.427
3 C 0.500 0.880 0.761

VASP energy (eV per atom): -7.029
Symmetry: P-6m2, No. 187
Total moment (μB/cell): 0.00
Relative energy among the computed polymorphs (eV/atom): 0.293
Energy relative to the elements (eV per atom): -0.086